Record 1
# Mg2ZrAg | Alexandria | PBE | optimized geometry
# Electronic total energy ... -3.58 eV/atom
# Calculated volume ... 169.06 Å³ per cell
# Energy of formation from the pure elements ... 0.07 eV/atom
# Magnetization ... 0.0 μB per cell
data_Mg2ZrAg
_chemical_formula_sum 'Mg4 Zr2 Ag2'
_symmetry_space_group_name_H-M 'C m m m'
_symmetry_Int_Tables_number 65
_symmetry_space_group_name_Hall '-C 2 2'
_cell_length_a 6.156
_cell_length_b 9.582
_cell_length_c 2.866
_cell_angle_alpha 90.00
_cell_angle_beta 90.00
_cell_angle_gamma 90.00
loop_
_atom_site_label
_atom_site_fract_x
_atom_site_fract_y
_atom_site_fract_z
Mg1 0.250 0.250 0.000
Zr1 0.000 0.000 0.500
Ag1 0.000 0.500 0.500

=====

Record 2
# MgZr2Ag | Alexandria | PBE | optimized geometry
# Electronic total energy ... -5.29 eV/atom
# Calculated volume ... 167.17 Å³ per cell
# Energy of formation from the pure elements ... 0.10 eV/atom
# Magnetization ... 0.0 μB per cell
data_MgZr2Ag
_chemical_formula_sum 'Mg2 Zr4 Ag2'
_symmetry_space_group_name_H-M 'I -4 m 2'
_symmetry_Int_Tables_number 119
_symmetry_space_group_name_Hall 'I -4 -2'
_cell_length_a 4.300
_cell_length_b 4.300
_cell_length_c 9.039
_cell_angle_alpha 90.00
_cell_angle_beta 90.00
_cell_angle_gamma 90.00
loop_
_atom_site_label
_atom_site_fract_x
_atom_site_fract_y
_atom_site_fract_z
Mg1 0.000 0.000 0.000
Zr1 0.000 0.000 0.500
Zr2 0.000 0.500 0.750
Ag1 0.000 0.500 0.250

=====

Record 3
# MgZr2Ag | Alexandria | PBE | optimized geometry
# Electronic total energy ... -5.17 eV/atom
# Calculated volume ... 344.73 Å³ per cell
# Energy of formation from the pure elements ... 0.21 eV/atom
# Magnetization ... 12.5 μB per cell
data_MgZr2Ag
_chemical_formula_sum 'Mg4 Zr8 Ag4'
_symmetry_space_group_name_H-M 'F -4 3 m'
_symmetry_Int_Tables_number 216
_symmetry_space_group_name_Hall 'F -4 2 3'
_cell_length_a 7.012
_cell_length_b 7.012
_cell_length_c 7.012
_cell_angle_alpha 90.00
_cell_angle_beta 90.00
_cell_angle_gamma 90.00
loop_
_atom_site_label
_atom_site_fract_x
_atom_site_fract_y
_atom_site_fract_z
Mg1 0.000 0.000 0.000
Zr1 0.000 0.000 0.500
Zr2 0.250 0.250 0.250
Ag1 0.250 0.250 0.750

=====

Record 4
# MgZrAg4 | Alexandria | PBE | optimized geometry
# Electronic total energy ... -3.55 eV/atom
# Calculated volume ... 469.07 Å³ per cell
# Energy of formation from the pure elements ... 0.04 eV/atom
# Magnetization ... 0.0 μB per cell
data_MgZrAg4
_chemical_formula_sum 'Mg4 Zr4 Ag16'
_symmetry_space_group_name_H-M 'F -4 3 m'
_symmetry_Int_Tables_number 216
_symmetry_space_group_name_Hall 'F -4 2 3'
_cell_length_a 7.770
_cell_length_b 7.770
_cell_length_c 7.770
_cell_angle_alpha 90.00
_cell_angle_beta 90.00
_cell_angle_gamma 90.00
loop_
_atom_site_label
_atom_site_fract_x
_atom_site_fract_y
_atom_site_fract_z
Mg1 0.000 0.000 0.000
Zr1 0.250 0.250 0.750
Ag1 0.125 0.125 0.375